No. 1
An optimized crystal structure of Ni2HgW. Source: Alexandria via LeMat-Bulk, functional PBE-GGA.

Calculated values
**Energy of formation**: 1.56 eV per formula unit
**Symmetry**: P4/mmm (123)
**D(E_F)**: 3.94 states/eV per cell

Lattice parameters (Å, degrees): 4.6044 4.6044 2.7426 90.00 90.00 90.00
Element x y z (fractional)
Ni  0.0000  0.5000  0.0000
Ni  0.5000  0.0000  0.0000
Hg  0.0000  0.0000  0.5000
W  0.5000  0.5000  0.5000

---

No. 2
An optimized crystal structure of Zn2MoBr. Source: Alexandria via LeMat-Bulk, functional PBE-GGA.

Calculated values
**Symmetry**: Pmmm (47)
**Uncorrected formation energy**: 0.59 eV/atom
**Relative energy among the computed polymorphs**: 363 meV per atom
**D(E_F)**: 3.05 states/eV per cell

Lattice parameters (Å, degrees): 2.9667 4.5534 5.0962 90.00 90.00 90.00
Element x y z (fractional)
Zn  0.0000  0.0000  0.0000
Zn  0.5000  0.5000  0.0000
Mo  0.0000  0.5000  0.5000
Br  0.5000  0.0000  0.5000

---

No. 3
An optimized crystal structure of Nd2PaN. Source: Alexandria via LeMat-Bulk, functional PBE-GGA.

Calculated values
**Symmetry**: R-3m (166)
**Uncorrected formation energy**: -0.34 eV/atom
**D(E_F)**: 4.71 states/eV per cell

Lattice parameters (Å, degrees): 9.9201 9.9201 9.9201 19.84 19.84 19.84
Element x y z (fractional)
Nd  0.1165  0.1165  0.1165
Nd  0.8835  0.8835  0.8835
Pa  0.0000  0.0000  0.0000
N  0.5000  0.5000  0.5000

---

No. 4
An optimized crystal structure of NbTe2S. Source: Alexandria via LeMat-Bulk, functional PBE-GGA.

Calculated values
**Symmetry**: I-42d (122)
**Uncorrected formation energy**: 0.40 eV/atom
**D(E_F)**: 9.75 states/eV per cell

Lattice parameters (Å, degrees): 7.4102 7.4102 7.4102 125.89 125.89 80.07
Element x y z (fractional)
Nb  0.0000  0.0000  0.0000
Nb  0.7500  0.2500  0.5000
Te  0.0985  0.6250  0.9735
Te  0.3750  0.3485  0.4735
Te  0.6515  0.1250  0.0265
Te  0.8750  0.9015  0.5265
S  0.2500  0.7500  0.5000
S  0.5000  0.5000  0.0000

---

No. 5
An optimized crystal structure of PaTaSn. Source: Alexandria via LeMat-Bulk, functional PBE-GGA.

Calculated values
**Energy of formation**: 0.32 eV per formula unit
**Symmetry**: P3m1 (156)
**Relative energy among the computed polymorphs**: 127 meV per atom
**D(E_F)**: 3.87 states/eV per cell

Lattice parameters (Å, degrees): 3.1314 3.1314 7.9385 90.00 90.00 120.00
Element x y z (fractional)
Pa  0.0000  0.0000  0.0000
Ta  0.3333  0.6667  0.6637
Sn  0.6667  0.3333  0.3583

---

No. 6
An optimized crystal structure of DyScTlIr. Source: Alexandria via LeMat-Bulk, functional PBE-GGA.

Calculated values
**Energy of formation**: -2.49 eV per formula unit
**Symmetry**: P4mm (99)
**Relative energy among the computed polymorphs**: 0 meV per atom
**D(E_F)**: 2.48 states/eV per cell

Lattice parameters (Å, degrees): 3.2814 3.2814 8.1754 90.00 90.00 90.00
Element x y z (fractional)
Dy  0.0000  0.0000  0.0000
Sc  0.0000  0.0000  0.5861
Tl  0.5000  0.5000  0.3057
Ir  0.5000  0.5000  0.7738

---

No. 7
An optimized crystal structure of Rb2VHI. Source: Alexandria via LeMat-Bulk, functional PBE-GGA.

Calculated values
**Symmetry**: P4/mmm (123)
**D(E_F)**: 1.22 states/eV per cell
**Raw total energy**: -3.176 eV per atom

Lattice parameters (Å, degrees): 6.3905 6.3905 4.0455 90.00 90.00 90.00
Element x y z (fractional)
Rb  0.0000  0.5000  0.0000
Rb  0.5000  0.0000  0.0000
V  0.0000  0.0000  0.5000
H  0.0000  0.0000  0.0000
I  0.5000  0.5000  0.5000

---

No. 8
An optimized crystal structure of CoAg3Ru. Source: Alexandria via LeMat-Bulk, functional PBE-GGA.

Calculated values
**Energy of formation**: 7.37 eV per formula unit
**Symmetry**: Pm-3m (221)
**Relative energy among the computed polymorphs**: 0 meV per atom
**D(E_F)**: 10.85 states/eV per cell

Lattice parameters (Å, degrees): 4.6969 4.6969 4.6969 90.00 90.00 90.00
Element x y z (fractional)
Co  0.0000  0.0000  0.0000
Ag  0.0000  0.0000  0.5000
Ag  0.0000  0.5000  0.0000
Ag  0.5000  0.0000  0.0000
Ru  0.5000  0.5000  0.5000

---

No. 9
An optimized crystal structure of Hf2TaMo. Source: Alexandria via LeMat-Bulk, functional PBE-GGA.

Calculated values
**Energy of formation**: 0.29 eV per formula unit
**Symmetry**: P4/mmm (123)
**Relative energy among the computed polymorphs**: 0 meV per atom
**D(E_F)**: 6.47 states/eV per cell

Lattice parameters (Å, degrees): 3.3067 3.3067 7.0248 90.00 90.00 90.00
Element x y z (fractional)
Hf  0.0000  0.0000  0.2320
Hf  0.0000  0.0000  0.7680
Ta  0.5000  0.5000  0.5000
Mo  0.5000  0.5000  0.0000

---

No. 10
An optimized crystal structure of LiUSiTc. Source: Alexandria via LeMat-Bulk, functional PBE-GGA.

Calculated values
**Symmetry**: F-43m (216)
**Uncorrected formation energy**: 0.01 eV/atom
**D(E_F)**: 6.68 states/eV per cell

Lattice parameters (Å, degrees): 4.5147 4.5147 4.5147 60.00 60.00 60.00
Element x y z (fractional)
Li  0.0000  0.0000  0.0000
U  0.2500  0.2500  0.2500
Si  0.7500  0.7500  0.7500
Tc  0.5000  0.5000  0.5000

---

No. 11
An optimized crystal structure of DyYCd4. Source: Alexandria via LeMat-Bulk, functional PBE-GGA.

Calculated values
**Energy of formation**: -1.58 eV per formula unit
**Symmetry**: F-43m (216)
**Relative energy among the computed polymorphs**: 65 meV per atom
**D(E_F)**: 5.57 states/eV per cell

Lattice parameters (Å, degrees): 5.9087 5.9087 5.9087 60.00 60.00 60.00
Element x y z (fractional)
Dy  0.0000  0.0000  0.0000
Y  0.7500  0.7500  0.7500
Cd  0.3750  0.3750  0.3750
Cd  0.3750  0.3750  0.8751
Cd  0.3750  0.8751  0.3750
Cd  0.8751  0.3750  0.3750

---

No. 12
An optimized crystal structure of HoAsI. Source: Alexandria via LeMat-Bulk, functional PBE-GGA.

Calculated values
**Symmetry**: I4mm (107)
**Uncorrected formation energy**: -0.77 eV/atom
**Relative energy among the computed polymorphs**: 245 meV per atom
**D(E_F)**: 2.42 states/eV per cell

Lattice parameters (Å, degrees): 6.2406 6.2406 6.2406 143.70 143.70 52.27
Element x y z (fractional)
Ho  0.0000  0.0000  0.0000
As  0.5792  0.5792  0.0000
I  0.3028  0.3028  0.0000

---

No. 13
An optimized crystal structure of PIrSe2. Source: Alexandria via LeMat-Bulk, functional PBE-GGA.

Calculated values
**Symmetry**: I-42d (122)
**Uncorrected formation energy**: 0.41 eV/atom
**D(E_F)**: 4.10 states/eV per cell

Lattice parameters (Å, degrees): 7.0565 7.0565 7.0565 132.30 132.30 69.76
Element x y z (fractional)
P  0.0000  0.0000  0.0000
P  0.7500  0.2500  0.5000
Ir  0.2500  0.7500  0.5000
Ir  0.5000  0.5000  0.0000
Se  0.1502  0.6250  0.0252
Se  0.3750  0.4002  0.5252
Se  0.5998  0.1250  0.9748
Se  0.8750  0.8498  0.4748

---

No. 14
An optimized crystal structure of Li2NbRu2. Source: Alexandria via LeMat-Bulk, functional PBE-GGA.

Calculated values
**Energy of formation**: 1.49 eV per formula unit
**Symmetry**: I4/mmm (139)
**Relative energy among the computed polymorphs**: 76 meV per atom
**D(E_F)**: 3.80 states/eV per cell

Lattice parameters (Å, degrees): 4.6501 4.6501 4.6501 123.53 123.53 83.98
Element x y z (fractional)
Li  0.1239  0.1239  0.0000
Li  0.8761  0.8761  0.0000
Nb  0.5000  0.5000  0.0000
Ru  0.2500  0.7500  0.5000
Ru  0.7500  0.2500  0.5000

---

No. 15
An optimized crystal structure of LiZnFeS2. Source: Alexandria via LeMat-Bulk, functional PBE-GGA.

Calculated values
**Symmetry**: P4/mmm (123)
**Uncorrected formation energy**: 0.82 eV/atom
**D(E_F)**: 7.91 states/eV per cell

Lattice parameters (Å, degrees): 4.3349 4.3349 4.1712 90.00 90.00 90.00
Element x y z (fractional)
Li  0.0000  0.0000  0.0000
Zn  0.0000  0.0000  0.5000
Fe  0.5000  0.5000  0.5000
S  0.0000  0.5000  0.0000
S  0.5000  0.0000  0.0000

---

No. 16
An optimized crystal structure of KTiCdF6. Source: Alexandria via LeMat-Bulk, functional PBE-GGA.

Calculated values
**Symmetry**: P-31c (163)
**Uncorrected formation energy**: -2.85 eV/atom
**D(E_F)**: 9.48 states/eV per cell

Lattice parameters (Å, degrees): 5.8917 5.8917 10.4193 90.00 90.00 120.00
Element x y z (fractional)
K  0.0000  0.0000  0.0000
K  0.0000  0.0000  0.5000
Ti  0.3333  0.6667  0.2500
Ti  0.6667  0.3333  0.7500
Cd  0.3333  0.6667  0.7500
Cd  0.6667  0.3333  0.2500
F  0.0387  0.3943  0.1475
F  0.0387  0.6443  0.3525
F  0.3557  0.3943  0.3525
F  0.3557  0.9613  0.1475
F  0.3943  0.0387  0.6475
F  0.3943  0.3557  0.8525
F  0.6057  0.6443  0.1475
F  0.6057  0.9613  0.3525
F  0.6443  0.0387  0.8525
F  0.6443  0.6057  0.6475
F  0.9613  0.3557  0.6475
F  0.9613  0.6057  0.8525

---

No. 17
An optimized crystal structure of Hf3Al2Ni6. Source: Alexandria via LeMat-Bulk, functional PBE-GGA.

Calculated values
**Energy of formation**: -6.36 eV per formula unit
**Symmetry**: Im-3m (229)
**D(E_F)**: 20.21 states/eV per cell

Lattice parameters (Å, degrees): 7.4014 7.4014 7.4014 109.47 109.47 109.47
Element x y z (fractional)
Hf  0.0000  0.2769  0.2769
Hf  0.0000  0.7231  0.7231
Hf  0.2769  0.0000  0.2769
Hf  0.2769  0.2769  0.0000
Hf  0.7231  0.0000  0.7231
Hf  0.7231  0.7231  0.0000
Al  0.0000  0.0000  0.5000
Al  0.0000  0.5000  0.0000
Al  0.5000  0.0000  0.0000
Al  0.5000  0.5000  0.5000
Ni  0.0000  0.3427  0.6573
Ni  0.0000  0.6573  0.3427
Ni  0.3146  0.6573  0.6573
Ni  0.3427  0.0000  0.6573
Ni  0.3427  0.3427  0.6854
Ni  0.3427  0.6573  0.0000
Ni  0.3427  0.6854  0.3427
Ni  0.6573  0.0000  0.3427
Ni  0.6573  0.3146  0.6573
Ni  0.6573  0.3427  0.0000
Ni  0.6573  0.6573  0.3146
Ni  0.6854  0.3427  0.3427

---

No. 18
An optimized crystal structure of ZrGa2Rh2. Source: Alexandria via LeMat-Bulk, functional PBE-GGA.

Calculated values
**Energy of formation**: -3.02 eV per formula unit
**Symmetry**: P2_1/m (11)
**D(E_F)**: 4.96 states/eV per cell

Lattice parameters (Å, degrees): 4.4764 3.7037 10.4801 90.00 99.64 90.00
Element x y z (fractional)
Zr  0.1532  0.2500  0.2758
Zr  0.8468  0.7500  0.7242
Ga  0.2073  0.7500  0.0312
Ga  0.3119  0.2500  0.6428
Ga  0.6881  0.7500  0.3572
Ga  0.7927  0.2500  0.9688
Rh  0.2417  0.7500  0.4817
Rh  0.2678  0.2500  0.8726
Rh  0.7322  0.7500  0.1274
Rh  0.7583  0.2500  0.5183

---

No. 19
An optimized crystal structure of TbSc4Se5. Source: Alexandria via LeMat-Bulk, functional PBE-GGA.

Calculated values
**Symmetry**: Immm (71)
**Uncorrected formation energy**: -1.61 eV/atom
**D(E_F)**: 6.19 states/eV per cell

Lattice parameters (Å, degrees): 10.3964 10.3964 10.3964 158.29 149.03 38.13
Element x y z (fractional)
Tb  0.0000  0.0000  0.0000
Sc  0.2036  0.2036  0.0000
Sc  0.4004  0.4004  0.0000
Sc  0.5996  0.5996  0.0000
Sc  0.7964  0.7964  0.0000
Se  0.1068  0.6068  0.5000
Se  0.3016  0.8016  0.5000
Se  0.5000  0.0000  0.5000
Se  0.6984  0.1984  0.5000
Se  0.8932  0.3932  0.5000

---

No. 20
An optimized crystal structure of PrDyFe4. Source: Alexandria via LeMat-Bulk, functional PBE-GGA.

Calculated values
**Energy of formation**: 0.12 eV per formula unit
**Symmetry**: F-43m (216)
**D(E_F)**: 7.29 states/eV per cell

Lattice parameters (Å, degrees): 5.2191 5.2191 5.2191 60.00 60.00 60.00
Element x y z (fractional)
Pr  0.0000  0.0000  0.0000
Dy  0.7500  0.7500  0.7500
Fe  0.3754  0.3754  0.3754
Fe  0.3754  0.3754  0.8737
Fe  0.3754  0.8737  0.3754
Fe  0.8737  0.3754  0.3754